A relaxed structure of ErFeSi4Ni2, computed with PBE-GGA.

Calculated values
formation energy without anion corrections: -0.526 eV/atom
magnetic moment: 1.25 μB per formula unit

```
8
Lattice="3.904 0.000 0.000 1.952 3.381 0.000 1.952 1.127 8.337" Properties=species:S:1:pos:R:3 pbc="T T T"
Ni 5.856 3.381 5.771
Ni 1.952 1.127 2.566
Fe 3.904 2.254 4.169
Si 1.952 1.127 5.076
Si 3.904 2.254 1.777
Si 3.904 2.254 6.561
Si 5.856 3.381 3.261
Er 0.000 0.000 0.000
```